No. 1
First-principles (PBE) data for a relaxed TiIn2PRh crystal, as listed in Alexandria.

```
TiIn2PRh
1.0
4.945 0.000 0.000
0.000 4.480 0.000
0.000 0.000 4.945
P Ti Rh In
1 1 1 2
direct
0.000 0.000 0.000
0.000 0.500 0.000
0.500 0.500 0.500
0.000 0.000 0.500
0.500 0.000 0.000
```

Properties
calculated volume: 109.6 Å³/cell
E_tot: -23.6 eV per formula unit
SG: No. 123
crystal system: tetragonal

No. 2
First-principles (PBE) data for a relaxed Mg2ScHg crystal, as listed in Alexandria.

```
Mg2ScHg
1.0
-5.116 -1.982 0.269
-3.255 -4.115 -1.627
-0.017 -3.528 3.952
Hg Mg Sc
1 2 1
direct
0.257 0.257 0.278
0.987 0.987 0.979
0.744 0.744 0.778
0.512 0.512 0.465
```

Properties
calculated volume: 90.1 Å³/cell
E_tot: -10.3 eV per formula unit
SG: No. 8
crystal system: monoclinic

No. 3
First-principles (PBE) data for a relaxed HfMgTe3 crystal, as listed in Alexandria.

```
HfMgTe3
1.0
-2.942 -0.930 4.633
3.041 -4.550 1.017
3.617 3.069 2.913
Mg Te Hf
1 3 1
direct
0.500 0.500 0.500
0.000 0.500 0.000
0.000 0.000 0.500
0.500 0.000 0.000
0.000 0.000 0.000
```

Properties
calculated volume: 172.5 Å³/cell
formation energy (no corrections): -0.84 eV per formula unit
E_tot: -21.8 eV per formula unit
SG: No. 221
crystal system: cubic

Total moment
In order: 0.00; 0.00; 0.00
Unit: Bohr magnetons per cell